DFT (PBE) results for crystalline CdRe3H at its relaxed geometry.

Properties
crystal system	cubic
final energy	-7.6292	eV per atom
calculated volume	13.2	Å³ per atom

Cell and atoms, written as CIF:
```
data_CdRe3H
_chemical_formula_sum 'Cd1 Re3 H1'
_cell_length_a 4.039
_cell_length_b 4.039
_cell_length_c 4.039
_cell_angle_alpha 90.00
_cell_angle_beta 90.00
_cell_angle_gamma 90.00
_symmetry_space_group_name_H-M 'P m -3 m'
_symmetry_Int_Tables_number 221
_symmetry_space_group_name_Hall '-P 4 2 3'
loop_
_atom_site_label
_atom_site_type_symbol
_atom_site_fract_x
_atom_site_fract_y
_atom_site_fract_z
Cd1 Cd 0.000 0.000 0.000
Re1 Re 0.000 0.500 0.500
H1 H 0.500 0.500 0.500
```